Record 1
Here is an optimized crystal structure of CuAg2Te from Alexandria. Energies are from PBE.

Unit cell a=6.785 b=6.785 c=6.785 alpha=90.00 beta=90.00 gamma=90.00
Element x y z (fractional)
Cu 0.000 0.000 0.000
Cu 0.000 0.500 0.500
Cu 0.500 0.000 0.500
Cu 0.500 0.500 0.000
Ag 0.000 0.000 0.500
Ag 0.000 0.500 0.000
Ag 0.250 0.250 0.750
Ag 0.250 0.750 0.250
Ag 0.500 0.000 0.000
Ag 0.500 0.500 0.500
Ag 0.750 0.250 0.250
Ag 0.750 0.750 0.750
Te 0.250 0.250 0.250
Te 0.250 0.750 0.750
Te 0.750 0.250 0.750
Te 0.750 0.750 0.250

Raw formation energy in eV/atom: 0.2203
DFT total energy in eV/f.u.: -12.06
Distance to the lowest polymorph of the same formula in meV/atom: 111

Record 2
Here is an optimized crystal structure of La3MoN from Alexandria. Energies are from PBE.

Unit cell a=5.013 b=5.013 c=5.013 alpha=90.00 beta=90.00 gamma=90.00
Element x y z (fractional)
La 0.000 0.000 0.500
La 0.000 0.500 0.000
La 0.500 0.000 0.000
Mo 0.500 0.500 0.500
N 0.000 0.000 0.000

Raw formation energy in eV/atom: -0.1487
DFT total energy in eV/f.u.: -34.68
Distance to the lowest polymorph of the same formula in meV/atom: 0

Record 3
Here is an optimized crystal structure of Dy5Ga2Sn2 from Alexandria. Energies are from PBE.

Unit cell a=8.700 b=8.700 c=7.838 alpha=90.00 beta=90.00 gamma=54.53
Element x y z (fractional)
Dy 0.000 0.000 0.000
Dy 0.045 0.689 0.674
Dy 0.189 0.545 0.174
Dy 0.311 0.955 0.674
Dy 0.455 0.811 0.174
Dy 0.500 0.500 0.500
Dy 0.545 0.189 0.826
Dy 0.689 0.045 0.326
Dy 0.811 0.455 0.826
Dy 0.955 0.311 0.326
Ga 0.119 0.881 0.380
Ga 0.381 0.619 0.880
Ga 0.619 0.381 0.120
Ga 0.881 0.119 0.620
Sn 0.211 0.211 0.000
Sn 0.289 0.289 0.500
Sn 0.711 0.711 0.500
Sn 0.789 0.789 0.000

DFT total energy in eV/f.u.: -42.79
ΔH_f (0 K) in kJ/mol of atoms: -61.34

Record 4
Here is an optimized crystal structure of KTaTl2O4 from Alexandria. Energies are from PBE.

Unit cell a=10.737 b=6.541 c=6.077 alpha=90.00 beta=121.40 gamma=90.00
Element x y z (fractional)
K 0.000 0.000 0.000
K 0.500 0.500 0.000
Ta 0.232 0.000 0.714
Ta 0.732 0.500 0.714
Tl 0.260 0.500 0.312
Tl 0.476 0.000 0.505
Tl 0.760 0.000 0.312
Tl 0.976 0.500 0.505
O 0.030 0.000 0.480
O 0.268 0.000 0.051
O 0.317 0.227 0.654
O 0.317 0.773 0.654
O 0.530 0.500 0.480
O 0.768 0.500 0.051
O 0.817 0.273 0.654
O 0.817 0.727 0.654

Raw formation energy in eV/atom: -1.8668
DFT total energy in eV/f.u.: -52.45

Record 5
Here is an optimized crystal structure of Ca2SmAgO4 from Alexandria. Energies are from PBE.

Unit cell a=5.895 b=3.496 c=6.006 alpha=90.00 beta=108.76 gamma=90.00
Element x y z (fractional)
Ca 0.000 0.000 0.000
Ca 0.500 0.500 0.000
Sm 0.000 0.500 0.500
Ag 0.500 0.000 0.500
O 0.223 0.500 0.230
O 0.230 0.000 0.752
O 0.770 0.000 0.248
O 0.777 0.500 0.770

Raw formation energy in eV/atom: -2.4645
DFT total energy in eV/f.u.: -51.12

Record 6
Here is an optimized crystal structure of CdReW from Alexandria. Energies are from PBE.

Unit cell a=3.175 b=3.175 c=10.446 alpha=90.00 beta=90.00 gamma=90.00
Element x y z (fractional)
Cd 0.000 0.000 0.000
Cd 0.500 0.500 0.500
Re 0.000 0.000 0.686
Re 0.500 0.500 0.186
W 0.000 0.000 0.310
W 0.500 0.500 0.810

DFT total energy in eV/f.u.: -24.95
Distance to the lowest polymorph of the same formula in meV/atom: 17
ΔH_f (0 K) in kJ/mol of atoms: 43.83

Record 7
Here is an optimized crystal structure of Ga2IBr from Alexandria. Energies are from PBE.

Unit cell a=7.303 b=7.303 c=14.206 alpha=90.00 beta=90.00 gamma=90.00
Element x y z (fractional)
Ga 0.228 0.250 0.125
Ga 0.250 0.728 0.375
Ga 0.250 0.772 0.875
Ga 0.272 0.250 0.625
Ga 0.728 0.750 0.625
Ga 0.750 0.228 0.875
Ga 0.750 0.272 0.375
Ga 0.772 0.750 0.125
I 0.000 0.000 0.500
I 0.000 0.500 0.750
I 0.500 0.000 0.250
I 0.500 0.500 0.000
Br 0.000 0.000 0.000
Br 0.000 0.500 0.250
Br 0.500 0.000 0.750
Br 0.500 0.500 0.500

Raw formation energy in eV/atom: -0.3442
DFT total energy in eV/f.u.: -10.65
Distance to the lowest polymorph of the same formula in meV/atom: 122

Record 8
Here is an optimized crystal structure of BaSi3Br from Alexandria. Energies are from PBE.

Unit cell a=5.992 b=5.992 c=5.992 alpha=90.00 beta=90.00 gamma=90.00
Element x y z (fractional)
Ba 0.000 0.000 0.000
Si 0.000 0.000 0.500
Si 0.000 0.500 0.000
Si 0.500 0.000 0.000
Br 0.500 0.500 0.500

Raw formation energy in eV/atom: 1.6926
DFT total energy in eV/f.u.: -11.40
Distance to the lowest polymorph of the same formula in meV/atom: 979

Record 9
Here is an optimized crystal structure of ZrPa2Nb from Alexandria. Energies are from PBE.

Unit cell a=4.222 b=4.222 c=5.133 alpha=90.00 beta=90.00 gamma=90.00
Element x y z (fractional)
Zr 0.000 0.000 0.000
Pa 0.000 0.500 0.500
Pa 0.500 0.000 0.500
Nb 0.500 0.500 0.000

DFT total energy in eV/f.u.: -36.86
Distance to the lowest polymorph of the same formula in meV/atom: 0
ΔH_f (0 K) in kJ/mol of atoms: 18.04

Record 10
Here is an optimized crystal structure of Pm7SmTm12 from Alexandria. Energies are from PBE.

Unit cell a=8.726 b=8.726 c=8.726 alpha=86.07 beta=86.07 gamma=86.07
Element x y z (fractional)
Pm 0.000 0.000 0.000
Pm 0.102 0.343 0.429
Pm 0.343 0.429 0.102
Pm 0.429 0.102 0.343
Pm 0.571 0.898 0.657
Pm 0.657 0.571 0.898
Pm 0.898 0.657 0.571
Sm 0.500 0.500 0.500
Tm 0.003 0.367 0.879
Tm 0.121 0.997 0.633
Tm 0.227 0.761 0.353
Tm 0.239 0.647 0.773
Tm 0.353 0.227 0.761
Tm 0.367 0.879 0.003
Tm 0.633 0.121 0.997
Tm 0.647 0.773 0.239
Tm 0.761 0.353 0.227
Tm 0.773 0.239 0.647
Tm 0.879 0.003 0.367
Tm 0.997 0.633 0.121

DFT total energy in eV/f.u.: -86.97
Distance to the lowest polymorph of the same formula in meV/atom: 0
ΔH_f (0 K) in kJ/mol of atoms: 22.47

Record 11
Here is an optimized crystal structure of CuAu2Se3 from Alexandria. Energies are from PBE.

Unit cell a=7.630 b=7.630 c=5.487 alpha=90.00 beta=90.00 gamma=60.66
Element x y z (fractional)
Cu 0.170 0.830 0.750
Cu 0.830 0.170 0.250
Au 0.167 0.506 0.250
Au 0.494 0.833 0.250
Au 0.506 0.167 0.750
Au 0.833 0.494 0.750
Se 0.142 0.858 0.250
Se 0.171 0.512 0.750
Se 0.488 0.829 0.750
Se 0.512 0.171 0.250
Se 0.829 0.488 0.250
Se 0.858 0.142 0.750

Raw formation energy in eV/atom: 0.0465
DFT total energy in eV/f.u.: -20.83

Record 12
Here is an optimized crystal structure of TbNp2UAs4 from Alexandria. Energies are from PBE.

Unit cell a=7.103 b=4.098 c=7.111 alpha=90.00 beta=109.47 gamma=90.00
Element x y z (fractional)
Tb 0.000 0.000 0.000
Np 0.500 0.000 0.500
Np 0.500 0.500 0.000
U 0.000 0.500 0.500
As 0.249 0.000 0.749
As 0.251 0.500 0.253
As 0.749 0.500 0.747
As 0.751 0.000 0.251

DFT total energy in eV/f.u.: -67.45
ΔH_f (0 K) in kJ/mol of atoms: -85.07